Entry 1:
Here is crystalline Tm2ZnRu at its relaxed geometry from the Alexandria database. Energies are from GGA-PBEsol.

Lattice parameters (Å, degrees): 4.7634 4.7634 4.7634 60.00 60.00 60.00
Last column: nearest neighbours and their distance in Å.
Positions (direct):
Tm (0.7500, 0.7500, 0.7500)  4 Zn 2.92, 4 Ru 2.92
Tm (0.2500, 0.2500, 0.2500)  4 Ru 2.92, 4 Zn 2.92
Zn (0.5000, 0.5000, 0.5000)  8 Tm 2.92
Ru (0.0000, 0.0000, 0.0000)  8 Tm 2.92

- Space group: Fm-3m, No. 225
- E_tot: -5.776 eV/atom
- Energy of formation from the pure elements: -0.388 eV/atom

Entry 2:
Here is crystalline TmZrRu2 at its relaxed geometry from the Alexandria database. Energies are from GGA-PBEsol.

Lattice parameters (Å, degrees): 4.6106 4.6106 4.6106 60.00 60.00 60.00
Last column: nearest neighbours and their distance in Å.
Positions (direct):
Tm (0.5000, 0.5000, 0.5000)  8 Ru 2.82
Zr (0.0000, 0.0000, 0.0000)  8 Ru 2.82
Ru (0.7500, 0.7500, 0.7500)  4 Zr 2.82, 4 Tm 2.82
Ru (0.2500, 0.2500, 0.2500)  4 Zr 2.82, 4 Tm 2.82

- Space group: Fm-3m, No. 225
- E_tot: -9.110 eV/atom
- Energy of formation from the pure elements: -0.526 eV/atom

Entry 3:
Here is crystalline UZn20Ru2 at its relaxed geometry from the Alexandria database. Energies are from GGA-PBEsol.

Lattice parameters (Å, degrees): 9.8933 9.8933 9.8933 60.00 60.00 60.00
Last column: nearest neighbours and their distance in Å.
Positions (direct):
Zn (0.8009, 0.0687, 0.3295)  8 Zn 2.58-2.84, 1 Ru 2.73
Zn (0.0687, 0.8009, 0.3295)  8 Zn 2.58-2.84, 1 Ru 2.73
Zn (0.1250, 0.1250, 0.1250)  12 Zn 2.98, 2 U 3.03
Zn (0.3631, 0.3631, 0.6369)  2 Ru 2.48, 10 Zn 2.63-2.76
Zn (0.3631, 0.6369, 0.6369)  2 Ru 2.48, 10 Zn 2.63-2.76
Zn (0.9205, 0.4491, 0.1813)  8 Zn 2.58-2.84, 1 Ru 2.73
Zn (0.8009, 0.3295, 0.0687)  8 Zn 2.58-2.84, 1 Ru 2.73
Zn (0.6131, 0.8869, 0.6131)  2 Ru 2.48, 10 Zn 2.63-2.76
Zn (0.3631, 0.6369, 0.3631)  2 Ru 2.48, 10 Zn 2.63-2.76
Zn (0.8869, 0.6131, 0.8869)  2 Ru 2.48, 10 Zn 2.63-2.76
Zn (0.8009, 0.8009, 0.0687)  8 Zn 2.58-2.84, 1 Ru 2.73
Zn (0.1813, 0.9205, 0.4491)  8 Zn 2.58-2.84, 1 Ru 2.73
Zn (0.0687, 0.8009, 0.8009)  8 Zn 2.58-2.84, 1 Ru 2.73
Zn (0.4491, 0.1813, 0.4491)  8 Zn 2.58-2.84, 1 Ru 2.73
Zn (0.1250, 0.6250, 0.1250)  12 Zn 2.98, 2 U 3.03
Zn (0.3295, 0.8009, 0.0687)  8 Zn 2.58-2.84, 1 Ru 2.73
Zn (0.8869, 0.8869, 0.6131)  2 Ru 2.48, 10 Zn 2.63-2.76
Zn (0.4491, 0.4491, 0.9205)  8 Zn 2.58-2.84, 1 Ru 2.73
Zn (0.6369, 0.3631, 0.6369)  2 Ru 2.48, 10 Zn 2.63-2.76
Zn (0.8009, 0.0687, 0.8009)  8 Zn 2.58-2.84, 1 Ru 2.73
Zn (0.1813, 0.4491, 0.4491)  8 Zn 2.58-2.84, 1 Ru 2.73
Zn (0.3295, 0.8009, 0.8009)  8 Zn 2.58-2.84, 1 Ru 2.73
Zn (0.6131, 0.8869, 0.8869)  2 Ru 2.48, 10 Zn 2.63-2.76
Zn (0.1250, 0.1250, 0.6250)  12 Zn 2.98, 2 U 3.03
Zn (0.3295, 0.0687, 0.8009)  8 Zn 2.58-2.84, 1 Ru 2.73
Zn (0.9205, 0.1813, 0.4491)  8 Zn 2.58-2.84, 1 Ru 2.73
Zn (0.0687, 0.3295, 0.8009)  8 Zn 2.58-2.84, 1 Ru 2.73
Zn (0.6250, 0.1250, 0.1250)  12 Zn 2.98, 2 U 3.03
Zn (0.6369, 0.6369, 0.3631)  2 Ru 2.48, 10 Zn 2.63-2.76
Zn (0.4491, 0.4491, 0.1813)  8 Zn 2.58-2.84, 1 Ru 2.73
Zn (0.4491, 0.9205, 0.4491)  8 Zn 2.58-2.84, 1 Ru 2.73
Zn (0.6369, 0.3631, 0.3631)  2 Ru 2.48, 10 Zn 2.63-2.76
Zn (0.8009, 0.8009, 0.3295)  8 Zn 2.58-2.84, 1 Ru 2.73
Zn (0.6131, 0.6131, 0.8869)  2 Ru 2.48, 10 Zn 2.63-2.76
Zn (0.8869, 0.6131, 0.6131)  2 Ru 2.48, 10 Zn 2.63-2.76
Zn (0.8009, 0.3295, 0.8009)  8 Zn 2.58-2.84, 1 Ru 2.73
Zn (0.4491, 0.1813, 0.9205)  8 Zn 2.58-2.84, 1 Ru 2.73
Zn (0.1813, 0.4491, 0.9205)  8 Zn 2.58-2.84, 1 Ru 2.73
Zn (0.9205, 0.4491, 0.4491)  8 Zn 2.58-2.84, 1 Ru 2.73
Zn (0.4491, 0.9205, 0.1813)  8 Zn 2.58-2.84, 1 Ru 2.73
U (0.0000, 0.0000, 0.0000)  16 Zn 3.03-3.07
U (0.2500, 0.2500, 0.2500)  16 Zn 3.03-3.07
Ru (0.1250, 0.6250, 0.6250)  12 Zn 2.48-2.73
Ru (0.6250, 0.1250, 0.6250)  12 Zn 2.48-2.73
Ru (0.6250, 0.6250, 0.6250)  12 Zn 2.48-2.73
Ru (0.6250, 0.6250, 0.1250)  12 Zn 2.48-2.73

- Space group: Fd-3m, No. 227
- E_tot: -2.886 eV/atom
- Energy of formation from the pure elements: -0.098 eV/atom

Entry 4:
Here is crystalline VRu at its relaxed geometry from the Alexandria database. Energies are from GGA-PBEsol.

Lattice parameters (Å, degrees): 2.9671 2.9671 2.9671 90.00 90.00 90.00
Last column: nearest neighbours and their distance in Å.
Positions (direct):
V (0.5000, 0.5000, 0.5000)  8 Ru 2.57
Ru (0.0000, 0.0000, 0.0000)  8 V 2.57

- Space group: Pm-3m, No. 221
- E_tot: -10.116 eV/atom
- Energy of formation from the pure elements: -0.213 eV/atom

Entry 5:
Here is crystalline Zr2V3Ru at its relaxed geometry from the Alexandria database. Energies are from GGA-PBEsol.

Lattice parameters (Å, degrees): 5.2209 5.2209 8.1221 90.00 90.00 120.00
Last column: nearest neighbours and their distance in Å.
Positions (direct):
Zr (0.3333, 0.6667, 0.4404)  9 V 2.92-3.03, 3 Ru 3.05, 4 Zr 3.09-3.17
Zr (0.6667, 0.3333, 0.9404)  9 V 2.92-3.03, 3 Ru 3.05, 4 Zr 3.09-3.17
Zr (0.3333, 0.6667, 0.0596)  9 V 2.92-3.03, 3 Ru 3.05, 4 Zr 3.09-3.17
Zr (0.6667, 0.3333, 0.5596)  9 V 2.92-3.03, 3 Ru 3.05, 4 Zr 3.09-3.17
Ru (0.0000, 0.0000, 0.5000)  6 V 2.54
Ru (0.0000, 0.0000, 0.0000)  6 V 2.54
V (0.8311, 0.1689, 0.2500)  2 Ru 2.54, 4 V 2.58-2.65
V (0.6622, 0.8311, 0.7500)  2 Ru 2.54, 4 V 2.58-2.65
V (0.8311, 0.6622, 0.2500)  2 Ru 2.54, 4 V 2.58-2.65
V (0.1689, 0.3378, 0.7500)  2 Ru 2.54, 4 V 2.58-2.65
V (0.3378, 0.1689, 0.2500)  2 Ru 2.54, 4 V 2.58-2.65
V (0.1689, 0.8311, 0.7500)  2 Ru 2.54, 4 V 2.58-2.65

- Space group: P6_3/mmc, No. 194
- E_tot: -9.793 eV/atom
- Energy of formation from the pure elements: -0.250 eV/atom

Entry 6:
Here is crystalline RuW at its relaxed geometry from the Alexandria database. Energies are from GGA-PBEsol.

Lattice parameters (Å, degrees): 2.7484 4.2792 5.1726 90.00 105.41 90.00
Last column: nearest neighbours and their distance in Å.
Positions (direct):
Ru (0.5677, 0.7500, 0.1353)  4 Ru 2.53-2.75, 7 W 2.59-2.76
Ru (0.4323, 0.2500, 0.8647)  4 Ru 2.53-2.75, 7 W 2.59-2.76
W (0.1724, 0.2500, 0.3449)  7 Ru 2.59-2.76, 2 W 2.75
W (0.8276, 0.7500, 0.6551)  7 Ru 2.59-2.76, 2 W 2.75

- Space group: Cmcm, No. 63
- E_tot: -11.798 eV/atom
- Energy of formation from the pure elements: 0.192 eV/atom

Entry 7:
Here is crystalline Ru3W at its relaxed geometry from the Alexandria database. Energies are from GGA-PBEsol.

Lattice parameters (Å, degrees): 2.7462 4.3171 4.6860 90.00 90.00 90.00
Last column: nearest neighbours and their distance in Å.
Positions (direct):
Ru (0.5000, 0.5000, 0.8417)  8 Ru 2.66-2.75, 4 W 2.68-2.75
Ru (0.5000, 0.0000, 0.4987)  4 W 2.67, 8 Ru 2.69-2.75
Ru (0.0000, 0.0000, 0.9935)  10 Ru 2.66-2.75, 2 W 2.68
W (0.0000, 0.5000, 0.3328)  10 Ru 2.67-2.75, 2 W 2.75

- Space group: Pmm2, No. 25
- E_tot: -11.101 eV/atom
- Energy of formation from the pure elements: -0.019 eV/atom

Entry 8:
Here is crystalline RuW8 at its relaxed geometry from the Alexandria database. Energies are from GGA-PBEsol.

Lattice parameters (Å, degrees): 3.1379 6.8452 6.8452 86.99 76.75 76.75
Last column: nearest neighbours and their distance in Å.
Positions (direct):
W (0.3325, 0.3351, 0.0000)  6 W 2.70-2.71, 2 Ru 2.73
W (0.6675, 0.0000, 0.6649)  6 W 2.70-2.71, 2 Ru 2.73
W (0.3313, 0.6687, 0.6687)  8 W 2.71-2.74
W (0.0000, 0.3313, 0.6687)  8 W 2.71-2.74
W (0.6675, 0.6649, 0.0000)  6 W 2.70-2.71, 2 Ru 2.73
W (0.0000, 0.6687, 0.3313)  8 W 2.71-2.74
W (0.3325, 0.0000, 0.3351)  6 W 2.70-2.71, 2 Ru 2.73
W (0.6687, 0.3313, 0.3313)  8 W 2.71-2.74
Ru (0.0000, 0.0000, 0.0000)  8 W 2.73

- Space group: I4/mmm, No. 139
- E_tot: -13.305 eV/atom
- Energy of formation from the pure elements: 0.098 eV/atom

Entry 9:
Here is crystalline Ru3W at its relaxed geometry from the Alexandria database. Energies are from GGA-PBEsol.

Lattice parameters (Å, degrees): 2.7308 4.7104 5.1028 117.49 105.52 90.00
Last column: nearest neighbours and their distance in Å.
Positions (direct):
Ru (0.5000, 0.8349, 0.0000)  8 Ru 2.66-2.73, 4 W 2.70-2.74
Ru (0.7511, 0.7517, 0.5022)  3 W 2.65-2.68, 9 Ru 2.66-2.73
Ru (0.2489, 0.2495, 0.4978)  3 W 2.65-2.68, 9 Ru 2.66-2.73
W (0.0000, 0.3305, 0.0000)  10 Ru 2.65-2.74, 2 W 2.73

- Space group: Imm2, No. 44
- E_tot: -11.103 eV/atom
- Energy of formation from the pure elements: -0.022 eV/atom

Entry 10:
Here is crystalline Ru7W at its relaxed geometry from the Alexandria database. Energies are from GGA-PBEsol.

Lattice parameters (Å, degrees): 5.3630 5.3630 5.3630 60.00 60.00 60.00
Last column: nearest neighbours and their distance in Å.
Positions (direct):
Ru (0.0000, 0.5000, 0.5000)  10 Ru 2.68, 2 W 2.68
Ru (0.5000, 0.0000, 0.0000)  10 Ru 2.68, 2 W 2.68
Ru (0.0000, 0.0000, 0.5000)  2 W 2.68, 10 Ru 2.68
Ru (0.5000, 0.0000, 0.5000)  10 Ru 2.68, 2 W 2.68
Ru (0.5000, 0.5000, 0.0000)  10 Ru 2.68, 2 W 2.68
Ru (0.5000, 0.5000, 0.5000)  12 Ru 2.68
Ru (0.0000, 0.5000, 0.0000)  10 Ru 2.68, 2 W 2.68
W (0.0000, 0.0000, 0.0000)  12 Ru 2.68

- Space group: Fm-3m, No. 225
- E_tot: -10.554 eV/atom
- Energy of formation from the pure elements: 0.073 eV/atom

Entry 11:
Here is crystalline RuW at its relaxed geometry from the Alexandria database. Energies are from GGA-PBEsol.

Lattice parameters (Å, degrees): 2.7702 2.7702 3.7889 90.00 90.00 90.00
Last column: nearest neighbours and their distance in Å.
Positions (direct):
W (0.5000, 0.5000, 0.5000)  8 Ru 2.73, 4 W 2.77
Ru (0.0000, 0.0000, 0.0000)  8 W 2.73, 4 Ru 2.77

- Space group: P4/mmm, No. 123
- E_tot: -11.923 eV/atom
- Energy of formation from the pure elements: 0.067 eV/atom

Entry 12:
Here is crystalline Ru3W at its relaxed geometry from the Alexandria database. Energies are from GGA-PBEsol.

Lattice parameters (Å, degrees): 4.3220 5.4425 5.4425 120.00 90.00 90.00
Last column: nearest neighbours and their distance in Å.
Positions (direct):
Ru (0.2500, 0.8337, 0.6673)  8 Ru 2.67-2.73, 4 W 2.67-2.72
Ru (0.7500, 0.1663, 0.3327)  8 Ru 2.67-2.73, 4 W 2.67-2.72
Ru (0.7500, 0.1663, 0.8337)  8 Ru 2.67-2.73, 4 W 2.67-2.72
Ru (0.7500, 0.6673, 0.8337)  8 Ru 2.67-2.73, 4 W 2.67-2.72
Ru (0.2500, 0.8337, 0.1663)  8 Ru 2.67-2.73, 4 W 2.67-2.72
Ru (0.2500, 0.3327, 0.1663)  8 Ru 2.67-2.73, 4 W 2.67-2.72
W (0.2500, 0.3333, 0.6667)  12 Ru 2.67-2.72
W (0.7500, 0.6667, 0.3333)  12 Ru 2.67-2.72

- Space group: P6_3/mmc, No. 194
- E_tot: -11.139 eV/atom
- Energy of formation from the pure elements: -0.058 eV/atom